{
  "formula": "YZr",
  "functional": "PBE-GGA",
  "state": "relaxed",
  "sg": "Pmma, No. 51",
  "relative_energy_kj_per_mol_atoms": 3.72,
  "final_energy_ev_per_fu": -14.8,
  "formation_enthalpy_0k_ev_per_atom": 0.09,
  "cell": [[3.390, 0.000, 0.000], [0.000, 5.348, 0.000], [0.000, 0.000, 6.040]],
  "species": ["Zr", "Zr", "Y", "Y"],
  "fractional_positions": [[0.500, 0.500, 0.803], [0.500, 0.000, 0.531], [0.000, 0.500, 0.333], [0.000, 0.000, 0.000]]
}